No. 1
PBE TiHgPtO6, relaxed; total energy = -107.67 eV/cell; D(E_F) = 0.79 states/eV per atom; total magnetization = 0.0 μB per formula unit; formation energy from raw total energies = -1094 meV per atom
1.0
5.2388 0.0000 0.0000
-2.6194 4.5369 0.0000
0.0000 0.0000 9.6520
Ti Hg Pt O
2 2 2 12
Direct
0.3333 0.6667 0.2500
0.6667 0.3333 0.7500
0.0000 0.0000 0.0000
0.0000 0.0000 0.5000
0.3333 0.6667 0.7500
0.6667 0.3333 0.2500
0.0010 0.3715 0.1381
0.0010 0.6295 0.3619
0.3705 0.3715 0.3619
0.3705 0.9990 0.1381
0.3715 0.0010 0.6381
0.3715 0.3705 0.8619
0.6285 0.6295 0.1381
0.6285 0.9990 0.3619
0.6295 0.0010 0.8619
0.6295 0.6285 0.6381
0.9990 0.3705 0.6381
0.9990 0.6285 0.8619

=====

No. 2
PBE TlHgPtO4, relaxed; total energy = -63.74 eV/cell; D(E_F) = 0.24 states/eV per atom; total magnetization = 0.0 μB per formula unit; formation energy from raw total energies = -476 meV per atom
1.0
-3.1709 3.5967 4.7508
3.1709 -3.5967 4.7508
3.1709 3.5967 -4.7508
Tl Hg Pt O
2 2 2 8
Direct
0.0000 0.0000 0.0000
0.5000 0.0000 0.5000
0.3883 0.6383 0.7500
0.6117 0.3617 0.2500
0.0000 0.0000 0.5000
0.0000 0.5000 0.0000
0.1772 0.2439 0.9332
0.1893 0.7561 0.4332
0.2151 0.1982 0.4831
0.2151 0.7320 0.0169
0.7849 0.2680 0.9831
0.7849 0.8018 0.5169
0.8107 0.2439 0.5668
0.8228 0.7561 0.0668

=====

No. 3
PBE YHgPtO4, relaxed; total energy = -84.88 eV/cell; D(E_F) = 0.34 states/eV per atom; total magnetization = 0.0 μB per formula unit; formation energy from raw total energies = -1400 meV per atom
1.0
-3.2081 3.6384 4.5621
3.2081 -3.6384 4.5621
3.2081 3.6384 -4.5621
Y Hg Pt O
2 2 2 8
Direct
0.0000 0.0000 0.0000
0.5000 0.0000 0.5000
0.3941 0.6441 0.7500
0.6059 0.3559 0.2500
0.0000 0.0000 0.5000
0.0000 0.5000 0.0000
0.1807 0.2484 0.9323
0.1838 0.7516 0.4323
0.2281 0.1982 0.4701
0.2281 0.7580 0.0299
0.7719 0.2420 0.9701
0.7719 0.8018 0.5299
0.8162 0.2484 0.5677
0.8193 0.7516 0.0677

=====

No. 4
PBE ZnHgPtO2, relaxed; total energy = -14.04 eV/cell; D(E_F) = 0.96 states/eV per atom; total magnetization = 0.0 μB per formula unit; formation energy from raw total energies = 698 meV per atom
1.0
4.0414 0.0000 0.0000
0.0000 4.0414 0.0000
0.0000 0.0000 5.4513
Zn Hg Pt O
1 1 1 2
Direct
0.0000 0.0000 0.0000
0.5000 0.5000 0.5000
0.5000 0.5000 0.0000
0.0000 0.5000 0.5000
0.5000 0.0000 0.5000

=====

No. 5
PBE PuHgO5, relaxed; total energy = -98.30 eV/cell; D(E_F) = 0.44 states/eV per atom; total magnetization = 0.1 μB per formula unit; formation energy from raw total energies = -1389 meV per atom
1.0
5.0235 -3.1829 0.0000
5.0235 3.1829 0.0000
-4.0712 0.0000 7.5479
Pu Hg O
2 2 10
Direct
0.0000 0.0000 0.0000
0.0000 0.0000 0.5000
0.4534 0.5466 0.7500
0.5466 0.4534 0.2500
0.1225 0.8775 0.7500
0.1663 0.2435 0.6230
0.2435 0.1663 0.1230
0.2455 0.6949 0.0661
0.3051 0.7545 0.4339
0.6949 0.2455 0.5661
0.7545 0.3051 0.9339
0.7565 0.8337 0.8770
0.8337 0.7565 0.3770
0.8775 0.1225 0.2500

=====

No. 6
PBE Pu2Hg2O7, relaxed; total energy = -167.79 eV/cell; D(E_F) = 0.73 states/eV per atom; total magnetization = 5.6 μB per formula unit; formation energy from raw total energies = -1811 meV per atom
1.0
0.0000 5.5643 5.5643
5.5643 0.0000 5.5643
5.5643 5.5643 0.0000
Pu Hg O
4 4 14
Direct
0.0000 0.0000 0.0000
0.0000 0.0000 0.5000
0.0000 0.5000 0.0000
0.5000 0.0000 0.0000
0.0000 0.5000 0.5000
0.5000 0.0000 0.5000
0.5000 0.5000 0.0000
0.5000 0.5000 0.5000
0.0671 0.0671 0.6829
0.0671 0.6829 0.0671
0.0671 0.6829 0.6829
0.3171 0.3171 0.9329
0.3171 0.9329 0.3171
0.3171 0.9329 0.9329
0.3750 0.3750 0.3750
0.6250 0.6250 0.6250
0.6829 0.0671 0.0671
0.6829 0.0671 0.6829
0.6829 0.6829 0.0671
0.9329 0.3171 0.3171
0.9329 0.3171 0.9329
0.9329 0.9329 0.3171

=====

No. 7
PBE PuHgO4, relaxed; total energy = -89.98 eV/cell; D(E_F) = 0.50 states/eV per atom; total magnetization = 2.0 μB per formula unit; formation energy from raw total energies = -1754 meV per atom
1.0
7.0697 0.0000 0.0000
0.0000 5.7043 0.0000
-2.5520 0.0000 5.4421
Pu Hg O
2 2 8
Direct
0.0000 0.0000 0.0000
0.0000 0.5000 0.5000
0.5000 0.0000 0.5000
0.5000 0.5000 0.0000
0.0569 0.2278 0.2514
0.0569 0.2722 0.7514
0.3097 0.6001 0.6505
0.3097 0.8999 0.1505
0.6903 0.1001 0.8495
0.6903 0.3999 0.3495
0.9431 0.7278 0.2486
0.9431 0.7722 0.7486

=====

No. 8
PBE Pu3Hg5O12, relaxed; total energy = -514.68 eV/cell; D(E_F) = 1.28 states/eV per atom; total magnetization = 9.9 μB per formula unit; formation energy from raw total energies = -1233 meV per atom
1.0
-6.6843 6.6843 6.6843
6.6843 -6.6843 6.6843
6.6843 6.6843 -6.6843
Pu Hg O
12 20 48
Direct
0.1250 0.2500 0.3750
0.1250 0.3750 0.7500
0.2500 0.3750 0.1250
0.2500 0.8750 0.6250
0.3750 0.1250 0.2500
0.3750 0.7500 0.1250
0.6250 0.2500 0.8750
0.6250 0.8750 0.7500
0.7500 0.1250 0.3750
0.7500 0.6250 0.8750
0.8750 0.6250 0.2500
0.8750 0.7500 0.6250
0.0000 0.0000 0.0000
0.0000 0.0000 0.5000
0.0000 0.5000 0.0000
0.0000 0.5000 0.5000
0.1250 0.7500 0.8750
0.1250 0.8750 0.2500
0.2500 0.1250 0.8750
0.2500 0.6250 0.3750
0.3750 0.2500 0.6250
0.3750 0.6250 0.7500
0.5000 0.0000 0.0000
0.5000 0.0000 0.5000
0.5000 0.5000 0.0000
0.5000 0.5000 0.5000
0.6250 0.3750 0.2500
0.6250 0.7500 0.3750
0.7500 0.3750 0.6250
0.7500 0.8750 0.1250
0.8750 0.1250 0.7500
0.8750 0.2500 0.1250
0.0644 0.2328 0.1413
0.0644 0.3317 0.9231
0.0769 0.6413 0.4086
0.0769 0.9356 0.6683
0.0914 0.7328 0.6683
0.0914 0.8587 0.4231
0.1413 0.0644 0.2328
0.1413 0.5769 0.9086
0.1683 0.2328 0.5914
0.1683 0.4356 0.5769
0.2328 0.1413 0.0644
0.2328 0.5914 0.1683
0.2672 0.3317 0.9086
0.2672 0.4356 0.3587
0.3317 0.9086 0.2672
0.3317 0.9231 0.0644
0.3587 0.2672 0.4356
0.3587 0.5914 0.9231
0.4086 0.0769 0.6413
0.4086 0.8317 0.7672
0.4231 0.0914 0.8587
0.4231 0.8317 0.5644
0.4356 0.3587 0.2672
0.4356 0.5769 0.1683
0.5644 0.4231 0.8317
0.5644 0.6413 0.7328
0.5769 0.1683 0.4356
0.5769 0.9086 0.1413
0.5914 0.1683 0.2328
0.5914 0.9231 0.3587
0.6413 0.4086 0.0769
0.6413 0.7328 0.5644
0.6683 0.0769 0.9356
0.6683 0.0914 0.7328
0.7328 0.5644 0.6413
0.7328 0.6683 0.0914
0.7672 0.4086 0.8317
0.7672 0.8587 0.9356
0.8317 0.5644 0.4231
0.8317 0.7672 0.4086
0.8587 0.4231 0.0914
0.8587 0.9356 0.7672
0.9086 0.1413 0.5769
0.9086 0.2672 0.3317
0.9231 0.0644 0.3317
0.9231 0.3587 0.5914
0.9356 0.6683 0.0769
0.9356 0.7672 0.8587

=====

No. 9
PBE PuHg2O8, relaxed; total energy = -61.43 eV/cell; D(E_F) = 0.21 states/eV per atom; total magnetization = 0.0 μB per formula unit; formation energy from raw total energies = -621 meV per atom
1.0
5.5001 0.0000 0.0000
2.5986 5.3596 0.0000
1.8167 0.2066 6.2170
Pu Hg O
1 2 8
Direct
0.0000 0.0000 0.0000
0.4996 0.2609 0.6416
0.5004 0.7391 0.3584
0.1678 0.6662 0.9706
0.2535 0.0684 0.7128
0.2558 0.0031 0.1730
0.2702 0.5324 0.4508
0.7298 0.4676 0.5492
0.7442 0.9969 0.8270
0.7465 0.9316 0.2872
0.8322 0.3338 0.0294

=====

No. 10
PBE Pu4HgO12, relaxed; total energy = -156.38 eV/cell; D(E_F) = 0.80 states/eV per atom; total magnetization = 10.0 μB per formula unit; formation energy from raw total energies = -2309 meV per atom
1.0
-4.0900 4.0904 4.1662
4.0900 -4.0904 4.1662
4.0900 4.0904 -4.1662
Pu Hg O
4 1 12
Direct
0.0000 0.0000 0.5000
0.0000 0.5000 0.0000
0.5000 0.0000 0.0000
0.5000 0.5000 0.5000
0.0000 0.0000 0.0000
0.0349 0.2886 0.7463
0.2005 0.2004 0.4009
0.2005 0.7996 0.0001
0.2890 0.0388 0.7498
0.2890 0.5393 0.2502
0.4577 0.7114 0.7463
0.5423 0.2886 0.2537
0.7110 0.4607 0.7498
0.7110 0.9612 0.2502
0.7995 0.2004 0.9999
0.7995 0.7996 0.5991
0.9651 0.7114 0.2537

=====

No. 11
PBE Pu2HgO, relaxed; energy relative to the lowest polymorph listed for this composition = 0.86 eV/f.u.; total energy = -37.63 eV/cell; D(E_F) = 3.04 states/eV per atom; total magnetization = 11.4 μB per formula unit; formation energy from raw total energies = -926 meV per atom
1.0
3.0879 0.0000 0.0000
0.0000 3.0879 0.0000
0.0000 0.0000 8.1829
Pu Hg O
2 1 1
Direct
0.0000 0.0000 0.1916
0.0000 0.0000 0.8084
0.5000 0.5000 0.5000
0.5000 0.5000 0.0000

=====

No. 12
PBE PuHgO6, relaxed; total energy = -50.46 eV/cell; D(E_F) = 0.66 states/eV per atom; total magnetization = 2.0 μB per formula unit; formation energy from raw total energies = -759 meV per atom
1.0
5.1266 0.0000 0.0000
-2.5633 4.4398 0.0000
0.0000 0.0000 6.0740
Pu Hg O
1 1 6
Direct
0.0000 0.0000 0.0000
0.0000 0.0000 0.5000
0.0000 0.2976 0.2036
0.0000 0.7024 0.7964
0.2976 0.0000 0.2036
0.2976 0.2976 0.7964
0.7024 0.0000 0.7964
0.7024 0.7024 0.2036

=====

Which value of formation energy from raw total energies does entry 5 give? -1389 meV per atom

=====

Which value of total magnetization does entry 4 give? 0.0 μB per formula unit